Material: Pr3Sm4PuSe8
Method: DFT, PBE
State: relaxed

abc: 8.411 8.411 8.411
angles: 120.00 120.00 90.00
Sites, in units of the cell vectors:
Pr 0.500 0.500 0.000
Pr 0.500 0.500 0.500
Pr 0.000 0.500 0.500
Sm 0.500 0.000 0.000
Sm 0.500 0.000 0.500
Sm 0.000 0.000 0.000
Sm 0.000 0.000 0.500
Pu 0.000 0.500 0.000
Se 0.249 0.754 0.005
Se 0.249 0.754 0.498
Se 0.247 0.242 0.495
Se 0.756 0.754 0.005
Se 0.244 0.246 0.995
Se 0.753 0.758 0.505
Se 0.751 0.246 0.502
Se 0.751 0.246 0.995

Output
Symmetry: No. 166
E_tot (eV per atom): -6.513
Magnetization (μB/f.u.): 5.86
Uncorrected formation energy (meV per atom): -1798.6